Record 1
Zr2SbAs at its PBEsol-relaxed geometry, computed with SCAN.

E = -2.2394 Ry/atom
Fermi-level density of states = 0.662 states/eV per atom
Space group = P4/mmm, No. 123

Cell: 3.329 3.329 7.243 Å, 90.00 90.00 90.00°
Sites, in units of the cell vectors:
Zr (0.000, 0.000, 0.222)
Zr (0.000, 0.000, 0.778)
Sb (0.500, 0.500, 0.500)
As (0.500, 0.500, 0.000)

***

Record 2
KNaMg2Tl at its PBEsol-relaxed geometry, computed with SCAN.

E = -1.3679 Ry/atom
Fermi-level density of states = 0.606 states/eV per atom
Energy of formation = 0.36 eV per atom
Space group = P4/mmm, No. 123

Cell: 5.673 5.673 5.686 Å, 90.00 90.00 90.00°
Sites, in units of the cell vectors:
Na (0.000, 0.000, 0.000)
K (0.500, 0.500, 0.500)
Tl (0.000, 0.000, 0.500)
Mg (0.500, 0.000, 0.000)
Mg (0.000, 0.500, 0.000)

***

Record 3
ZrAlHg2 at its PBEsol-relaxed geometry, computed with SCAN.

E = -3.2179 Ry/atom
Fermi-level density of states = 0.373 states/eV per atom
Energy of formation = -0.09 eV per atom
Space group = C2/m, No. 12

Cell: 2.924 5.567 5.771 Å, 116.66 100.92 97.62°
Sites, in units of the cell vectors:
Zr (0.500, 0.000, 0.000)
Al (0.000, 0.500, 0.000)
Hg (0.500, 0.500, 0.500)
Hg (0.000, 0.000, 0.500)

***

Record 4
PmMg2Sc at its PBEsol-relaxed geometry, computed with SCAN.

E = -1.2580 Ry/atom
Fermi-level density of states = 1.120 states/eV per atom
Energy of formation = -0.07 eV per atom
Space group = Fm-3m, No. 225

Cell: 5.214 5.214 5.214 Å, 60.00 60.00 60.00°
Sites, in units of the cell vectors:
Pm (0.000, 0.000, 0.000)
Mg (0.750, 0.750, 0.750)
Mg (0.250, 0.250, 0.250)
Sc (0.500, 0.500, 0.500)

***

Record 5
Sc2AlMoRu at its PBEsol-relaxed geometry, computed with SCAN.

E = -1.5059 Ry/atom
Fermi-level density of states = 0.949 states/eV per atom
Energy of formation = 0.70 eV per atom
Space group = P4/mmm, No. 123

Cell: 4.495 4.932 4.932 Å, 90.00 90.00 90.00°
Sites, in units of the cell vectors:
Mo (0.000, 0.000, 0.000)
Sc (0.000, 0.000, 0.500)
Sc (0.000, 0.500, 0.000)
Ru (0.500, 0.000, 0.000)
Al (0.500, 0.500, 0.500)

***

Record 6
Ag2SnPb2 at its PBEsol-relaxed geometry, computed with SCAN.

E = -3.6683 Ry/atom
Fermi-level density of states = 0.353 states/eV per atom
Energy of formation = 0.13 eV per atom
Space group = P4/mbm, No. 127

Cell: 4.298 7.442 7.442 Å, 90.00 90.00 90.00°
Sites, in units of the cell vectors:
Pb (0.500, 0.169, 0.669)
Pb (0.500, 0.669, 0.831)
Pb (0.500, 0.831, 0.331)
Pb (0.500, 0.331, 0.169)
Ag (0.000, 0.631, 0.131)
Ag (0.000, 0.369, 0.869)
Ag (0.000, 0.869, 0.631)
Ag (0.000, 0.131, 0.369)
Sn (0.000, 0.000, 0.000)
Sn (0.000, 0.500, 0.500)